## Tl2PbCl (PBE)

Data for crystalline Tl2PbCl at its relaxed geometry.

Values from the calculation:
formation energy without anion corrections = -351.1 meV/atom

Lattice parameters (Å, degrees): 3.772 5.340 6.396 90.00 90.00 90.00
Space group Pmmm (No. 47)
One atom of each set of equivalent atoms:
1 Tl 0.000 0.000 0.000 (multiplicity 1)
2 Tl 0.500 0.500 0.500 (multiplicity 1)
3 Pb 0.000 0.000 0.500 (multiplicity 1)
4 Cl 0.500 0.500 0.000 (multiplicity 1)